(1)
This record from Alexandria via LeMat-Bulk describes crystalline SbOsRu at its relaxed geometry. The functional is PBE.

Output
crystal system	trigonal
E above lowest polymorph	2.64	kcal/mol of atoms

Cell lengths 2.998, 2.998, 6.385 Å; angles 90.00, 90.00, 120.00 degrees
Fractional positions:
Os  0.000  0.000  0.009
Ru  0.667  0.333  0.326
Sb  0.333  0.667  0.665

(2)
This record from Alexandria via LeMat-Bulk describes crystalline La7AgPb2N2 at its relaxed geometry. The functional is PBE.

Output
crystal system	monoclinic
E_tot	-70.45	eV/cell

Cell lengths 5.109, 5.109, 13.759 Å; angles 79.33, 79.33, 90.00 degrees
Fractional positions:
La  0.500  0.500  0.000
La  0.307  0.307  0.386
La  0.693  0.693  0.614
La  0.908  0.408  0.185
La  0.408  0.908  0.185
La  0.592  0.092  0.815
La  0.092  0.592  0.815
Ag  0.000  0.000  0.000
Pb  0.822  0.822  0.357
Pb  0.178  0.178  0.643
N  0.600  0.600  0.801
N  0.400  0.400  0.199

(3)
This record from Alexandria via LeMat-Bulk describes crystalline Zn2ReCl at its relaxed geometry. The functional is PBE.

Output
crystal system	monoclinic
E above lowest polymorph	10.55	kcal/mol of atoms

Cell lengths 5.426, 5.426, 4.438 Å; angles 82.99, 82.99, 29.18 degrees
Fractional positions:
Cl  0.250  0.250  0.250
Re  0.750  0.750  0.750
Zn  0.025  0.025  0.987
Zn  0.475  0.475  0.513